# 1
Entry from OQMD via LeMat-Bulk: a geometry-optimized PrGd2O3 structure (PBE).

Summary:
* magnetic moment: 0.00 μB/atom
* mass density: 9.27 g/cm³
* E_tot: -45.65 eV per cell

a b c (Å): 3.4761 3.4761 8.6158
angles (deg): 90.00 90.00 120.00
Space group P-3m1 (No. 164)
Asymmetric unit:
Pr 0.0000 0.0000 0.0000 (multiplicity 1)
Gd 0.3333 0.6667 0.6646 (multiplicity 2)
O 0.0000 0.0000 0.5000 (multiplicity 1)
O 0.3333 0.6667 0.1924 (multiplicity 2)



# 2
Entry from OQMD via LeMat-Bulk: a geometry-optimized PrGdO2 structure (PBE).

Summary:
* magnetic moment: 0.00 μB/atom
* mass density: 8.96 g/cm³
* E_tot: -60.40 eV per cell

a b c (Å): 4.9662 4.9615 4.9664
angles (deg): 90.00 90.22 90.00
Space group C2/m (No. 12)
Asymmetric unit:
Pr 0.0000 0.0000 0.0000 (multiplicity 2)
Gd 0.0000 0.5000 0.5000 (multiplicity 2)
O 0.0000 0.0000 0.5000 (multiplicity 2)
O 0.0000 0.5000 0.0000 (multiplicity 2)



# 3
Entry from OQMD via LeMat-Bulk: a geometry-optimized Rb2PrGdO4 structure (PBE).

Summary:
* magnetic moment: 0.00 μB/atom
* mass density: 6.13 g/cm³
* E_tot: -51.82 eV per cell

a b c (Å): 3.5854 3.5854 12.9657
angles (deg): 90.00 90.00 120.00
Space group P-3m1 (No. 164)
Asymmetric unit:
Rb 0.3333 0.6667 0.2530 (multiplicity 2)
Pr 0.0000 0.0000 0.0000 (multiplicity 1)
Gd 0.0000 0.0000 0.5000 (multiplicity 1)
O 0.3333 0.6667 0.5877 (multiplicity 2)
O 0.3333 0.6667 0.9042 (multiplicity 2)



# 4
Entry from OQMD via LeMat-Bulk: a geometry-optimized PrGdZn2Sb2O2 structure (PBE).

Summary:
* magnetic moment: 0.00 μB/atom
* mass density: 7.12 g/cm³
* E_tot: -43.42 eV per cell

a b c (Å): 4.1514 4.1514 9.5378
angles (deg): 90.00 90.00 90.00
Space group P4mm (No. 99)
Asymmetric unit:
Pr 0.0000 0.0000 0.0000 (multiplicity 1)
Gd 0.5000 0.5000 0.7695 (multiplicity 1)
Zn 0.0000 0.5000 0.3817 (multiplicity 2)
Sb 0.0000 0.0000 0.5666 (multiplicity 1)
Sb 0.5000 0.5000 0.1951 (multiplicity 1)
O 0.0000 0.5000 0.8753 (multiplicity 2)